# 1
First-principles (PBE-GGA) data for LiAgIr after structural relaxation, as listed in OQMD via LeMat-Bulk.

a b c (Å): 4.032 4.032 4.032
angles (deg): 60.00 60.00 60.00
Element x y z (fractional)
Li  0.000  0.000  0.000
Ag  0.750  0.750  0.750
Ir  0.250  0.250  0.250

Uncorrected energy = -11.58 eV for the cell shown
Crystal system = cubic



# 2
First-principles (PBE-GGA) data for Li2AgIrN after structural relaxation, as listed in OQMD via LeMat-Bulk.

a b c (Å): 4.142 4.142 3.794
angles (deg): 90.00 90.00 90.00
Element x y z (fractional)
Li  0.000  0.500  0.000
Li  0.500  0.000  0.000
Ag  0.000  0.000  0.500
Ir  0.500  0.500  0.500
N  0.500  0.500  0.000

Uncorrected energy = -25.12 eV for the cell shown
Crystal system = tetragonal



# 3
First-principles (PBE-GGA) data for LiAg3IrO4 after structural relaxation, as listed in OQMD via LeMat-Bulk.

a b c (Å): 5.280 5.280 5.280
angles (deg): 90.00 90.00 90.00
Element x y z (fractional)
Li  0.000  0.000  0.000
Ag  0.000  0.500  0.500
Ag  0.500  0.000  0.500
Ag  0.500  0.500  0.000
Ir  0.500  0.500  0.500
O  0.255  0.255  0.255
O  0.255  0.745  0.745
O  0.745  0.255  0.745
O  0.745  0.745  0.255

Uncorrected energy = -38.03 eV for the cell shown
Crystal system = cubic



# 4
First-principles (PBE-GGA) data for LiReAgIr after structural relaxation, as listed in OQMD via LeMat-Bulk.

a b c (Å): 4.339 4.339 4.339
angles (deg): 60.00 60.00 60.00
Element x y z (fractional)
Li  0.000  0.000  0.000
Re  0.250  0.250  0.250
Ag  0.750  0.750  0.750
Ir  0.500  0.500  0.500

Uncorrected energy = -24.94 eV for the cell shown
Crystal system = cubic



# 5
First-principles (PBE-GGA) data for LiAg3IrS4 after structural relaxation, as listed in OQMD via LeMat-Bulk.

a b c (Å): 6.016 6.016 6.016
angles (deg): 90.00 90.00 90.00
Element x y z (fractional)
Li  0.000  0.000  0.000
Ag  0.000  0.500  0.500
Ag  0.500  0.000  0.500
Ag  0.500  0.500  0.000
Ir  0.500  0.500  0.500
S  0.274  0.274  0.274
S  0.274  0.726  0.726
S  0.726  0.274  0.726
S  0.726  0.726  0.274

Uncorrected energy = -35.68 eV for the cell shown
Crystal system = cubic



# 6
First-principles (PBE-GGA) data for LiAgIr2S4 after structural relaxation, as listed in OQMD via LeMat-Bulk.

a b c (Å): 6.436 6.436 6.436
angles (deg): 127.38 127.38 77.63
Element x y z (fractional)
Li  0.000  0.000  0.000
Ag  0.250  0.750  0.500
Ir  0.500  0.500  0.000
Ir  0.750  0.250  0.500
S  0.123  0.164  0.531
S  0.408  0.877  0.041
S  0.633  0.592  0.469
S  0.836  0.367  0.959

Uncorrected energy = -40.64 eV for the cell shown
Crystal system = tetragonal